# Li7Mn2Co3O12

A relaxed Li7Mn2Co3O12 crystal (PBE with a Hubbard U, Alexandria via LeMat-Bulk).

abc: 2.904 7.756 9.781
angles: 93.54 97.34 99.34
Space group P-1 (No. 2)
Inequivalent atoms, fractional coordinates:
Li 0.000 0.000 0.000
Li 0.083 0.411 0.745
Li 0.237 0.247 0.245
Li 0.410 0.066 0.758
Mn 0.331 0.676 0.996
Co 0.167 0.833 0.500
Co 0.500 0.500 0.500
O 0.076 0.227 0.890
O 0.133 0.617 0.615
O 0.199 0.048 0.383
O 0.274 0.456 0.107
O 0.365 0.853 0.883
O 0.468 0.284 0.617

Computed properties:
* E_tot: -5.854 eV per atom
* magnetization: 18.02 Bohr magnetons per cell